Run w
Compound: LiRu2Au
Source: Alexandria
Functional: PBE
Structure: optimized geometry Values from VASP.

```
&SYSTEM
  ibrav = 0, nat = 4, ntyp = 3
/
ATOMIC_SPECIES
Au 196.97 Au.upf
Li 6.94 Li.upf
Ru 101.07 Ru.upf
CELL_PARAMETERS angstrom
4.346 0.000 0.000
0.000 3.645 0.000
0.000 0.000 3.645
ATOMIC_POSITIONS angstrom
Au 2.173 1.822 0.000
Li 2.173 0.000 1.822
Ru 0.000 0.000 0.000
Ru 0.000 1.822 1.822
```

=====

Run x
Compound: LiRu2Au
Source: Alexandria
Functional: PBE
Structure: optimized geometry Values from VASP.

```
&SYSTEM
  ibrav = 0, nat = 4, ntyp = 3
/
ATOMIC_SPECIES
Au 196.97 Au.upf
Li 6.94 Li.upf
Ru 101.07 Ru.upf
CELL_PARAMETERS angstrom
2.690 -0.044 0.000
-1.237 2.389 0.000
0.000 0.000 9.543
ATOMIC_POSITIONS angstrom
Au 0.726 1.173 2.386
Li 0.726 1.173 7.157
Ru 0.000 0.000 9.436
Ru 0.000 0.000 4.879
```

=====

Preferred: run w; penalty for the next structure: 0.228 eV/atom.